a:
First-principles (PBE) data for a geometry-optimized KIr2Ru structure, as listed in Alexandria via LeMat-Bulk.

Unit cell a=3.6955 b=2.7227 c=8.3505 alpha=70.93 beta=90.00 gamma=90.00
Last column: nearest neighbours and their distance in Å.
Fractional positions:
Ir (0.0000, 0.0817, 0.9180)  4 Ru 2.65, 3 Ir 2.65-2.72
Ir (0.0000, 0.4183, 0.5820)  4 Ru 2.65, 3 Ir 2.65-2.72
K (0.5000, 0.2500, 0.2500)  2 K 2.72
Ru (0.5000, 0.7500, 0.7500)  8 Ir 2.65, 2 Ru 2.72

Magnetic moment in μB/f.u.: 0.00

b:
First-principles (PBE) data for a geometry-optimized KIr2Ru structure, as listed in Alexandria via LeMat-Bulk.

Unit cell a=4.8844 b=4.8844 c=4.8844 alpha=129.71 beta=129.71 gamma=73.87
Last column: nearest neighbours and their distance in Å.
Fractional positions:
Ir (0.0000, 0.0000, 0.0000)  4 K 2.85, 4 Ru 2.85, 4 Ir 2.94
Ir (0.5000, 0.5000, 0.0000)  4 Ru 2.85, 4 K 2.85, 4 Ir 2.94
K (0.2500, 0.7500, 0.5000)  8 Ir 2.85, 4 Ru 2.94
Ru (0.7500, 0.2500, 0.5000)  8 Ir 2.85, 4 K 2.94

Magnetic moment in μB/f.u.: 1.04

c:
First-principles (PBE) data for a geometry-optimized KIr2Ru structure, as listed in Alexandria via LeMat-Bulk.

Unit cell a=4.6274 b=4.6274 c=6.8748 alpha=85.13 beta=85.13 gamma=34.46
Last column: nearest neighbours and their distance in Å.
Fractional positions:
Ir (0.9995, 0.9995, 0.9963)  3 Ru 2.59-2.66, 5 Ir 2.63-2.74
Ir (0.2674, 0.2674, 0.1575)  2 Ru 2.57, 5 Ir 2.63-2.74
K (0.5020, 0.5020, 0.4968)  2 K 2.74
Ru (0.7311, 0.7311, 0.8495)  5 Ir 2.57-2.66, 2 Ru 2.74

Magnetic moment in μB/f.u.: 0.00

Name the least stable of them. b.

a:
First-principles (PBE) data for a geometry-optimized KIr2Ru structure, as listed in Alexandria via LeMat-Bulk.

Unit cell a=5.0632 b=5.0632 c=2.7020 alpha=90.00 beta=90.00 gamma=90.00
Last column: nearest neighbours and their distance in Å.
Fractional positions:
Ir (0.0000, 0.0000, 0.0000)  2 Ir 2.70, 4 Ru 2.87, 4 K 2.87
Ir (0.5000, 0.5000, 0.0000)  2 Ir 2.70, 4 K 2.87, 4 Ru 2.87
K (0.5000, 0.0000, 0.5000)  2 K 2.70, 8 Ir 2.87
Ru (0.0000, 0.5000, 0.5000)  2 Ru 2.70, 8 Ir 2.87

Magnetic moment in μB/f.u.: 2.50

b:
First-principles (PBE) data for a geometry-optimized KIr2Ru structure, as listed in Alexandria via LeMat-Bulk.

Unit cell a=5.8869 b=5.8869 c=6.2062 alpha=70.00 beta=70.00 gamma=26.43
Last column: nearest neighbours and their distance in Å.
Fractional positions:
Ir (0.0473, 0.0473, 0.8700)  4 Ir 2.52-2.69, 2 Ru 2.56
Ir (0.4527, 0.4527, 0.6300)  4 Ir 2.52-2.69, 2 Ru 2.56
K (0.2500, 0.2500, 0.2500)  2 K 2.69
Ru (0.7500, 0.7500, 0.7500)  4 Ir 2.56, 2 Ru 2.69

Magnetic moment in μB/f.u.: 0.01

Name the least stable of them. a.

a:
First-principles (PBE) data for a geometry-optimized KIr2Ru structure, as listed in Alexandria via LeMat-Bulk.

Unit cell a=2.7736 b=2.7736 c=9.3098 alpha=90.00 beta=90.00 gamma=90.00
Last column: nearest neighbours and their distance in Å.
Fractional positions:
Ir (0.0000, 0.0000, 0.9994)  4 Ru 2.66, 8 Ir 2.71-2.77
Ir (0.5000, 0.5000, 0.1999)  8 Ir 2.71-2.77
K (0.0000, 0.0000, 0.4948)  4 K 2.77
Ru (0.5000, 0.5000, 0.8060)  4 Ir 2.66, 4 Ru 2.77

Magnetic moment in μB/f.u.: 0.00

b:
First-principles (PBE) data for a geometry-optimized KIr2Ru structure, as listed in Alexandria via LeMat-Bulk.

Unit cell a=2.7875 b=2.7875 c=9.1224 alpha=90.00 beta=90.00 gamma=90.00
Last column: nearest neighbours and their distance in Å.
Fractional positions:
Ir (0.0000, 0.0000, 0.9460)  4 Ru 2.66, 4 Ir 2.79
Ir (0.0000, 0.0000, 0.5540)  4 Ru 2.66, 4 Ir 2.79
K (0.5000, 0.5000, 0.2500)  4 K 2.79
Ru (0.5000, 0.5000, 0.7500)  8 Ir 2.66, 4 Ru 2.79

Magnetic moment in μB/f.u.: 0.00

Name the least stable of them. a.

a:
First-principles (PBE) data for a geometry-optimized K2IrRu structure, as listed in Alexandria via LeMat-Bulk.

Unit cell a=2.7293 b=2.7293 c=11.0242 alpha=90.00 beta=90.00 gamma=90.15
Last column: nearest neighbours and their distance in Å.
Fractional positions:
Ir (0.5000, 0.5000, 0.7500)  4 Ir 2.73
K (0.0000, 0.0000, 0.9947)  4 K 2.73
K (0.0000, 0.0000, 0.5053)  4 K 2.73
Ru (0.5000, 0.5000, 0.2500)  4 Ru 2.73

Magnetic moment in μB/f.u.: 0.40

b:
First-principles (PBE) data for a geometry-optimized K2IrRu structure, as listed in Alexandria via LeMat-Bulk.

Unit cell a=4.4477 b=4.4477 c=9.9394 alpha=87.40 beta=87.40 gamma=37.81
Last column: nearest neighbours and their distance in Å.
Fractional positions:
Ir (0.7561, 0.7561, 0.6622)  3 Ru 2.38-2.53
K (0.0094, 0.0094, 0.9028)  2 K 2.88
K (0.2432, 0.2432, 0.3465)  2 K 2.88
Ru (0.4913, 0.4913, 0.5885)  3 Ir 2.38-2.53

Magnetic moment in μB/f.u.: 0.00

c:
First-principles (PBE) data for a geometry-optimized K2IrRu structure, as listed in Alexandria via LeMat-Bulk.

Unit cell a=6.2980 b=4.9511 c=2.8103 alpha=86.91 beta=78.35 gamma=112.40
Last column: nearest neighbours and their distance in Å.
Fractional positions:
Ir (0.5000, 0.0000, 0.5000)  4 Ru 2.78-2.91, 2 Ir 2.81
K (0.0000, 0.0000, 0.0000)  6 K 2.78-2.91
K (0.0000, 0.5000, 0.5000)  6 K 2.78-2.91
Ru (0.5000, 0.5000, 0.0000)  4 Ir 2.78-2.91, 2 Ru 2.81

Magnetic moment in μB/f.u.: 0.03

Name the least stable of them. a.

a:
First-principles (PBE) data for a geometry-optimized K2IrRu structure, as listed in Alexandria via LeMat-Bulk.

Unit cell a=11.4374 b=11.4374 c=11.4374 alpha=14.22 beta=14.22 gamma=14.22
Last column: nearest neighbours and their distance in Å.
Fractional positions:
Ir (0.7500, 0.7500, 0.7500)  6 Ir 2.83
K (0.0008, 0.0008, 0.0008)  6 K 2.83
K (0.4992, 0.4992, 0.4992)  6 K 2.83
Ru (0.2500, 0.2500, 0.2500)  6 Ru 2.83

Magnetic moment in μB/f.u.: 0.00

b:
First-principles (PBE) data for a geometry-optimized K2IrRu structure, as listed in Alexandria via LeMat-Bulk.

Unit cell a=10.3216 b=10.3216 c=4.3126 alpha=78.10 beta=78.10 gamma=15.80
Last column: nearest neighbours and their distance in Å.
Fractional positions:
Ir (0.7500, 0.7500, 0.7500)  4 Ru 2.58, 2 Ir 2.84
K (0.1082, 0.1082, 0.8872)  2 K 2.84, 2 Ir 3.17
K (0.3918, 0.3918, 0.6128)  2 K 2.84, 2 Ir 3.17
Ru (0.2500, 0.2500, 0.2500)  4 Ir 2.58, 2 Ru 2.84

Magnetic moment in μB/f.u.: 0.00

Name the least stable of them. a.

a:
First-principles (PBE) data for a geometry-optimized K2IrRu structure, as listed in Alexandria via LeMat-Bulk.

Unit cell a=5.9700 b=5.9700 c=5.9700 alpha=138.74 beta=122.77 gamma=72.96
Last column: nearest neighbours and their distance in Å.
Fractional positions:
Ir (0.3215, 0.8215, 0.5000)  2 Ru 2.33
K (0.0278, 0.0278, 0.0000)  4 K 3.42-3.59, 4 Ir 3.48-3.52, 5 Ru 3.68-3.83
K (0.7242, 0.2242, 0.5000)  4 K 3.42-3.59, 4 Ru 3.46-3.55, 4 Ir 3.67
Ru (0.4266, 0.4266, 0.0000)  2 Ir 2.33

Magnetic moment in μB/f.u.: 0.30

b:
First-principles (PBE) data for a geometry-optimized K2IrRu structure, as listed in Alexandria via LeMat-Bulk.

Unit cell a=12.3130 b=12.3130 c=9.0132 alpha=46.92 beta=46.92 gamma=90.00
Last column: nearest neighbours and their distance in Å.
Fractional positions:
Ru (0.5000, 0.5000, 0.0000)  2 Ir 2.33
Ru (0.2500, 0.7500, 0.5000)  2 Ir 2.33
K (0.8126, 0.1250, 0.2500)  2 Ir 3.23
K (0.9374, 0.6250, 0.2500)  2 Ir 3.23
K (0.3750, 0.1874, 0.7500)  2 Ir 3.23
K (0.8750, 0.0626, 0.7500)  2 Ir 3.23
Ir (0.0000, 0.0000, 0.0000)  2 Ru 2.33
Ir (0.7500, 0.2500, 0.5000)  2 Ru 2.33

Magnetic moment in μB/f.u.: 1.77

Name the least stable of them. b.

a:
First-principles (PBE) data for a geometry-optimized K2IrRu structure, as listed in Alexandria via LeMat-Bulk.

Unit cell a=3.9641 b=2.8497 c=10.5084 alpha=73.76 beta=90.00 gamma=90.00
Last column: nearest neighbours and their distance in Å.
Fractional positions:
Ir (0.4999, 0.8328, 0.6656)  4 Ru 2.57, 2 Ir 2.85
K (0.0000, 0.0756, 0.9088)  2 K 2.85
K (0.5002, 0.1766, 0.3389)  2 K 2.85
Ru (0.9999, 0.4150, 0.5867)  4 Ir 2.57, 2 Ru 2.85

Magnetic moment in μB/f.u.: 0.00

b:
First-principles (PBE) data for a geometry-optimized K2IrRu structure, as listed in Alexandria via LeMat-Bulk.

Unit cell a=5.2271 b=5.2271 c=5.2271 alpha=60.00 beta=60.00 gamma=60.00
Last column: nearest neighbours and their distance in Å.
Fractional positions:
Ru (0.0000, 0.0000, 0.0000)  8 K 3.20
K (0.2500, 0.2500, 0.2500)  4 Ir 3.20, 4 Ru 3.20
K (0.7500, 0.7500, 0.7500)  4 Ir 3.20, 4 Ru 3.20
Ir (0.5000, 0.5000, 0.5000)  8 K 3.20

Magnetic moment in μB/f.u.: 3.23

Name the least stable of them. b.

a:
First-principles (PBE) data for a geometry-optimized K2IrRu structure, as listed in Alexandria via LeMat-Bulk.

Unit cell a=4.9953 b=4.9953 c=4.9953 alpha=60.00 beta=60.00 gamma=60.00
Last column: nearest neighbours and their distance in Å.
Fractional positions:
Ir (0.5000, 0.5000, 0.5000)  4 K 3.06, 4 Ru 3.06
K (0.0000, 0.0000, 0.0000)  4 Ru 3.06, 4 K 3.06
K (0.2500, 0.2500, 0.2500)  4 K 3.06, 4 Ir 3.06
Ru (0.7500, 0.7500, 0.7500)  4 Ir 3.06, 4 K 3.06

Magnetic moment in μB/f.u.: 3.08

b:
First-principles (PBE) data for a geometry-optimized K2IrRu structure, as listed in Alexandria via LeMat-Bulk.

Unit cell a=3.8533 b=3.8609 c=5.5165 alpha=90.00 beta=90.00 gamma=90.00
Last column: nearest neighbours and their distance in Å.
Fractional positions:
Ir (0.0000, 0.5000, 0.5000)  4 Ru 2.73
K (0.0000, 0.0000, 0.0000)  4 K 2.73
K (0.5000, 0.5000, 0.0000)  4 K 2.73
Ru (0.5000, 0.0000, 0.5000)  4 Ir 2.73

Magnetic moment in μB/f.u.: 0.22

c:
First-principles (PBE) data for a geometry-optimized K2IrRu structure, as listed in Alexandria via LeMat-Bulk.

Unit cell a=5.6584 b=2.8205 c=4.9230 alpha=87.74 beta=90.00 gamma=90.00
Last column: nearest neighbours and their distance in Å.
Fractional positions:
Ir (0.5000, 0.7500, 0.7500)  4 Ru 2.79-2.88, 2 Ir 2.82
K (0.0000, 0.9984, 0.9986)  6 K 2.78-2.90
K (0.0000, 0.5016, 0.5014)  6 K 2.78-2.90
Ru (0.5000, 0.2500, 0.2500)  4 Ir 2.79-2.88, 2 Ru 2.82

Magnetic moment in μB/f.u.: 0.35

Name the least stable of them. a.

a:
First-principles (PBE) data for a geometry-optimized K2IrRu structure, as listed in Alexandria via LeMat-Bulk.

Unit cell a=6.1638 b=6.1638 c=6.1638 alpha=143.58 beta=143.31 gamma=52.66
Last column: nearest neighbours and their distance in Å.
Fractional positions:
Ir (0.2500, 0.7500, 0.5000)  4 Ru 2.73
K (0.0056, 0.0056, 0.0000)  4 K 2.74
K (0.4944, 0.4944, 0.0000)  4 K 2.74
Ru (0.7500, 0.2500, 0.5000)  4 Ir 2.73

Magnetic moment in μB/f.u.: 1.00

b:
First-principles (PBE) data for a geometry-optimized K2IrRu structure, as listed in Alexandria via LeMat-Bulk.

Unit cell a=6.1219 b=6.1219 c=2.8122 alpha=90.00 beta=90.00 gamma=128.00
Last column: nearest neighbours and their distance in Å.
Fractional positions:
Ir (0.0000, 0.5000, 0.5000)  2 Ru 2.68, 2 Ir 2.81
K (0.0000, 0.0000, 0.0000)  4 K 2.68-2.81
K (0.5000, 0.5000, 0.0000)  4 K 2.68-2.81
Ru (0.5000, 0.0000, 0.5000)  2 Ir 2.68, 2 Ru 2.81

Magnetic moment in μB/f.u.: 1.33

Name the least stable of them. b.

a:
First-principles (PBE) data for a geometry-optimized K2Ir2Ru structure, as listed in Alexandria via LeMat-Bulk.

Unit cell a=6.3871 b=6.3871 c=5.6733 alpha=90.00 beta=90.00 gamma=90.00
Last column: nearest neighbours and their distance in Å.
Fractional positions:
Ru (0.0000, 0.0000, 0.0000)  4 Ir 2.50
Ru (0.5000, 0.5000, 0.0000)  4 Ir 2.50
K (0.1811, 0.6811, 0.5000)  5 K 3.27-3.31, 6 Ir 3.30-3.49
K (0.6811, 0.8189, 0.5000)  5 K 3.27-3.31, 6 Ir 3.30-3.49
K (0.8189, 0.3189, 0.5000)  5 K 3.27-3.31, 6 Ir 3.30-3.49
K (0.3189, 0.1811, 0.5000)  5 K 3.27-3.31, 6 Ir 3.30-3.49
Ir (0.3678, 0.8678, 0.0000)  1 Ir 2.39, 2 Ru 2.50
Ir (0.8678, 0.6322, 0.0000)  1 Ir 2.39, 2 Ru 2.50
Ir (0.6322, 0.1322, 0.0000)  1 Ir 2.39, 2 Ru 2.50
Ir (0.1322, 0.3678, 0.0000)  1 Ir 2.39, 2 Ru 2.50

Magnetic moment in μB/f.u.: 0.00

b:
First-principles (PBE) data for a geometry-optimized K2Ir2Ru structure, as listed in Alexandria via LeMat-Bulk.

Unit cell a=3.5950 b=3.5950 c=8.2123 alpha=77.36 beta=77.36 gamma=90.00
Last column: nearest neighbours and their distance in Å.
Fractional positions:
Ru (0.0000, 0.0000, 0.0000)  8 Ir 2.84
K (0.7500, 0.2500, 0.5000)  4 K 2.54
K (0.2500, 0.7500, 0.5000)  4 K 2.54
Ir (0.4192, 0.4192, 0.1616)  1 Ir 2.52
Ir (0.5808, 0.5808, 0.8384)  1 Ir 2.52

Magnetic moment in μB/f.u.: 2.35

Name the least stable of them. b.

a:
First-principles (PBE) data for a geometry-optimized KIrS3 structure, as listed in Alexandria via LeMat-Bulk.

Unit cell a=5.3509 b=5.3509 c=5.3509 alpha=90.00 beta=90.00 gamma=90.00
Last column: nearest neighbours and their distance in Å.
Fractional positions:
K (0.0000, 0.0000, 0.0000)  6 S 2.68
Ir (0.5000, 0.5000, 0.5000)  12 S 3.78
S (0.0000, 0.5000, 0.0000)  2 K 2.68
S (0.0000, 0.0000, 0.5000)  2 K 2.68
S (0.5000, 0.0000, 0.0000)  2 K 2.68

Magnetic moment in μB/f.u.: 6.06

b:
First-principles (PBE) data for a geometry-optimized KIrS3 structure, as listed in Alexandria via LeMat-Bulk.

Unit cell a=6.4734 b=6.4734 c=7.6943 alpha=65.12 beta=65.12 gamma=60.00
Last column: nearest neighbours and their distance in Å.
Fractional positions:
K (0.1138, 0.1138, 0.6587)  9 S 3.18-3.53
K (0.8862, 0.8862, 0.3413)  9 S 3.18-3.53
Ir (0.3342, 0.3342, 0.9973)  6 S 2.36
Ir (0.6658, 0.6658, 0.0027)  6 S 2.36
S (0.0679, 0.5452, 0.7876)  2 Ir 2.36
S (0.5993, 0.0679, 0.7876)  2 Ir 2.36
S (0.4548, 0.4007, 0.2124)  2 Ir 2.36
S (0.4007, 0.9321, 0.2124)  2 Ir 2.36
S (0.9321, 0.4548, 0.2124)  2 Ir 2.36
S (0.5452, 0.5993, 0.7876)  2 Ir 2.36

Magnetic moment in μB/f.u.: 0.00

c:
First-principles (PBE) data for a geometry-optimized KIrS3 structure, as listed in Alexandria via LeMat-Bulk.

Unit cell a=4.7942 b=4.7942 c=4.7942 alpha=90.00 beta=90.00 gamma=90.00
Last column: nearest neighbours and their distance in Å.
Fractional positions:
K (0.5000, 0.5000, 0.5000)  12 S 3.39
Ir (0.0000, 0.0000, 0.0000)  6 S 2.40
S (0.0000, 0.5000, 0.0000)  2 Ir 2.40
S (0.0000, 0.0000, 0.5000)  2 Ir 2.40
S (0.5000, 0.0000, 0.0000)  2 Ir 2.40

Magnetic moment in μB/f.u.: 2.65

Name the least stable of them. a.

a:
First-principles (PBE) data for a geometry-optimized KSb2Ir structure, as listed in Alexandria via LeMat-Bulk.

Unit cell a=3.2664 b=3.2664 c=9.8506 alpha=90.00 beta=90.00 gamma=90.00
Last column: nearest neighbours and their distance in Å.
Fractional positions:
Ir (0.0000, 0.0000, 0.4556)  4 Sb 2.69
K (0.5000, 0.5000, 0.7167)  4 K 3.27, 4 Ir 3.46
Sb (0.0000, 0.0000, 0.0131)  4 Sb 3.27
Sb (0.5000, 0.5000, 0.3146)  4 Ir 2.69

Magnetic moment in μB/f.u.: 0.00

b:
First-principles (PBE) data for a geometry-optimized KSb2Ir structure, as listed in Alexandria via LeMat-Bulk.

Unit cell a=3.2087 b=5.8644 c=6.1804 alpha=53.57 beta=90.00 gamma=90.00
Last column: nearest neighbours and their distance in Å.
Fractional positions:
Ir (0.5000, 0.5000, 0.5000)  6 Sb 3.09-3.16, 2 Ir 3.21, 4 K 3.34
K (0.0000, 0.0000, 0.5000)  6 Sb 3.09-3.16, 2 K 3.21, 4 Ir 3.34
Sb (0.0000, 0.0000, 0.0000)  2 K 3.09, 4 Ir 3.16, 6 Sb 3.21-3.34
Sb (0.5000, 0.5000, 0.0000)  2 Ir 3.09, 4 K 3.16, 6 Sb 3.21-3.34

Magnetic moment in μB/f.u.: 0.00

Name the least stable of them. b.